# 1
Hf4FeCu3 after structural relaxation. Source: Alexandria via LeMat-Bulk, functional PBE.

Structure (CIF):
```
data_Hf4FeCu3
_space_group_name_H-M_alt 'P m m m'
_space_group_IT_number 47
_cell_length_a 3.1594
_cell_length_b 4.5953
_cell_length_c 9.1497
_cell_angle_alpha 90.00
_cell_angle_beta 90.00
_cell_angle_gamma 90.00
loop_
_space_group_symop_operation_xyz
'x,y,z'
'-x,-y,-z'
'-x,-y,z'
'x,y,-z'
'x,-y,-z'
'-x,y,z'
'-x,y,-z'
'x,-y,z'
loop_
_atom_site_label
_atom_site_fract_x
_atom_site_fract_y
_atom_site_fract_z
Hf1 0.0000 0.0000 0.0000
Hf2 0.0000 0.0000 0.5000
Hf3 0.0000 0.5000 0.2368
Fe1 0.5000 0.5000 0.0000
Cu1 0.5000 0.0000 0.2532
Cu2 0.5000 0.5000 0.5000
```

Properties
* DFT total energy: -7.73 eV per atom
* D(E_F): 8.0 states/eV/f.u.
* DFT formation energy: -1.312 eV per formula unit
* total magnetization: 0.04 μB per formula unit
* calculated density: 12.01 g/cm3

---

# 2
Pr4Tl2Hg3 after structural relaxation. Source: Alexandria via LeMat-Bulk, functional PBE.

Structure (CIF):
```
data_Pr4Tl2Hg3
_space_group_name_H-M_alt 'C 1 2/m 1'
_space_group_IT_number 12
_cell_length_a 10.8311
_cell_length_b 5.1337
_cell_length_c 9.8015
_cell_angle_alpha 90.00
_cell_angle_beta 108.44
_cell_angle_gamma 90.00
loop_
_space_group_symop_operation_xyz
'x,y,z'
'-x,-y,-z'
'-x,y,-z'
'x,-y,z'
'x+1/2,y+1/2,z'
'-x+1/2,-y+1/2,-z'
'-x+1/2,y+1/2,-z'
'x+1/2,-y+1/2,z'
loop_
_atom_site_label
_atom_site_fract_x
_atom_site_fract_y
_atom_site_fract_z
Pr1 0.0541 0.0000 0.3451
Pr2 0.1492 0.5000 0.8944
Tl1 0.2096 0.5000 0.2520
Hg1 0.0000 0.0000 0.0000
Hg2 0.1405 0.5000 0.5633
```

Properties
* DFT total energy: -3.11 eV per atom
* D(E_F): 8.0 states/eV/f.u.
* DFT formation energy: -3.265 eV per formula unit
* total magnetization: 0.23 μB per formula unit
* calculated density: 10.11 g/cm3

---

# 3
PrNd14Ho after structural relaxation. Source: Alexandria via LeMat-Bulk, functional PBE.

Structure (CIF):
```
data_PrNd14Ho
_space_group_name_H-M_alt 'P 4/m m m'
_space_group_IT_number 123
_space_group_name_Hall '-P 4 2'
_cell_length_a 7.3555
_cell_length_b 7.3555
_cell_length_c 10.4030
_cell_angle_alpha 90.00
_cell_angle_beta 90.00
_cell_angle_gamma 90.00
loop_
_atom_site_label
_atom_site_fract_x
_atom_site_fract_y
_atom_site_fract_z
Pr1 0.0000 0.0000 0.0000
Nd1 0.0000 0.0000 0.5000
Nd2 0.0000 0.5000 0.0000
Nd3 0.0000 0.5000 0.5000
Nd4 0.2513 0.2513 0.2489
Nd5 0.5000 0.5000 0.5000
Ho1 0.5000 0.5000 0.0000
```

Properties
* DFT total energy: -4.74 eV per atom
* D(E_F): 25.2 states/eV/f.u.
* DFT formation energy: 0.202 eV per formula unit
* total magnetization: 0.00 μB per formula unit
* calculated density: 6.86 g/cm3

---

Q: What is the formula in the first record?
A: Hf4FeCu3

---

Q: total magnetization of number 1 (Hf4FeCu3)?
A: 0.04 μB per formula unit